Entry 1:
VASP calculation (PBE-GGA) on a geometry-optimized AcInB12 structure.

- V (Å³/cell) = 606.8
- ΔE_f (eV/atom) = -0.192
- mass density (Mg/m³) = 5.16
- electronic total energy (eV per cell) = -358.641
- DOS at the Fermi energy (states/eV/atom) = 0.0965

a = 8.466 Å, b = 8.466 Å, c = 8.466 Å
α = 90.00°, β = 90.00°, γ = 90.00°
Space group Fm-3m (No. 225)
Asymmetric unit:
Ac (0.000, 0.000, 0.000) [4 per cell]
In (0.000, 0.000, 0.500) [4 per cell]
B (0.102, 0.250, 0.250) [48 per cell]



Entry 2:
VASP calculation (PBE-GGA) on a geometry-optimized Sr2LiAlAg6 structure.

- V (Å³/cell) = 479.6
- ΔE_f (eV/atom) = -0.094
- mass density (Mg/m³) = 5.93
- electronic total energy (eV per cell) = -54.140
- DOS at the Fermi energy (states/eV/atom) = 0.3675

a = 9.831 Å, b = 9.921 Å, c = 6.863 Å
α = 90.00°, β = 134.24°, γ = 90.00°
Space group C2/m (No. 12)
Asymmetric unit:
Sr (0.000, 0.214, 0.000) [4 per cell]
Li (0.000, 0.500, 0.500) [2 per cell]
Al (0.000, 0.000, 0.500) [2 per cell]
Ag (0.000, 0.257, 0.500) [4 per cell]
Ag (0.202, 0.500, 0.413) [4 per cell]
Ag (0.204, 0.500, 0.990) [4 per cell]



Entry 3:
VASP calculation (PBE-GGA) on a geometry-optimized NiBRu2 structure.

- V (Å³/cell) = 195.9
- ΔE_f (eV/atom) = 0.202
- mass density (Mg/m³) = 9.21
- electronic total energy (eV per cell) = -120.805
- DOS at the Fermi energy (states/eV/atom) = 1.3210

a = 6.619 Å, b = 6.619 Å, c = 4.471 Å
α = 90.00°, β = 90.00°, γ = 90.00°
Space group I-42d (No. 122)
Asymmetric unit:
Ni (0.000, 0.000, 0.000) [4 per cell]
B (0.000, 0.000, 0.500) [4 per cell]
Ru (0.167, 0.250, 0.625) [8 per cell]



Entry 4:
VASP calculation (PBE-GGA) on a geometry-optimized TaRe3 structure.

- V (Å³/cell) = 126.2
- ΔE_f (eV/atom) = 0.108
- mass density (Mg/m³) = 19.46
- electronic total energy (eV per cell) = -97.532
- DOS at the Fermi energy (states/eV/atom) = 1.1404

a = 5.6201 Å, b = 5.6201 Å, c = 4.6145 Å
α = 90.00°, β = 90.00°, γ = 120.00°
Space group P6_3/mmc (No. 194)
Asymmetric unit:
Ta (0.3333, 0.6667, 0.2500) [2 per cell]
Re (0.1654, 0.3309, 0.7500) [6 per cell]



Entry 5:
VASP calculation (PBE-GGA) on a geometry-optimized Cs3MgPa3Te8 structure.

- V (Å³/cell) = 1886.8
- ΔE_f (raw) (eV per atom) = -0.929
- mass density (Mg/m³) = 5.64
- electronic total energy (eV per cell) = -215.114
- DOS at the Fermi energy (states/eV/atom) = 1.3157

a = 8.8772 Å, b = 8.8772 Å, c = 27.6425 Å
α = 90.00°, β = 90.00°, γ = 120.00°
Space group R-3m (No. 166, hexagonal axes)
Asymmetric unit:
Cs (0.0000, 0.5000, 0.0000) [9 per cell]
Mg (0.0000, 0.0000, 0.5000) [3 per cell]
Pa (0.0000, 0.5000, 0.5000) [9 per cell]
Te (0.0000, 0.0000, 0.2316) [6 per cell]
Te (0.0032, 0.5016, 0.2289) [18 per cell]



Entry 6:
VASP calculation (PBE-GGA) on a geometry-optimized CuAsRh2 structure.

- V (Å³/cell) = 175.0
- ΔE_f (eV/atom) = 0.087
- mass density (Mg/m³) = 9.80
- electronic total energy (eV per cell) = -69.301
- DOS at the Fermi energy (states/eV/atom) = 1.0051

a = 2.8510 Å, b = 2.8510 Å, c = 24.8599 Å
α = 90.00°, β = 90.00°, γ = 120.00°
Space group R3m (No. 160, hexagonal axes)
Asymmetric unit:
Cu (0.0000, 0.0000, 0.0000) [3 per cell]
As (0.0000, 0.0000, 0.7496) [3 per cell]
Rh (0.0000, 0.0000, 0.2502) [3 per cell]
Rh (0.0000, 0.0000, 0.4932) [3 per cell]



Entry 7:
VASP calculation (PBE-GGA) on a geometry-optimized PuTh2Ge2Ru5 structure.

- V (Å³/cell) = 374.6
- ΔE_f (eV/atom) = -0.411
- mass density (Mg/m³) = 12.05
- electronic total energy (eV per cell) = -177.795
- DOS at the Fermi energy (states/eV/atom) = 1.2783

a = 10.203 Å, b = 10.203 Å, c = 3.598 Å
α = 90.00°, β = 90.00°, γ = 90.00°
Space group P4/mbm (No. 127)
Asymmetric unit:
Pu (0.000, 0.000, 0.000) [2 per cell]
Th (0.173, 0.327, 0.000) [4 per cell]
Ge (0.123, 0.623, 0.000) [4 per cell]
Ru (0.000, 0.500, 0.500) [2 per cell]
Ru (0.070, 0.788, 0.500) [8 per cell]



Entry 8:
VASP calculation (PBE-GGA) on a geometry-optimized In2Re2Si structure.

- excess energy over the best structure of this formula in the dataset (kJ/mol of formula units) = 53.4
- V (Å³/cell) = 199.7
- ΔE_f (raw) (eV per atom) = 0.896
- mass density (Mg/m³) = 10.48
- electronic total energy (eV per cell) = -62.637
- DOS at the Fermi energy (states/eV/atom) = 0.7672

a = 8.412 Å, b = 8.412 Å, c = 2.821 Å
α = 90.00°, β = 90.00°, γ = 90.00°
Space group P4/mbm (No. 127)
Asymmetric unit:
In (0.190, 0.310, 0.000) [4 per cell]
Re (0.100, 0.600, 0.500) [4 per cell]
Si (0.000, 0.000, 0.000) [2 per cell]



Entry 9:
VASP calculation (PBE-GGA) on a geometry-optimized Ac4CeBi5 structure.

- V (Å³/cell) = 796.5
- ΔE_f (eV/atom) = -0.954
- mass density (Mg/m³) = 8.73
- electronic total energy (eV per cell) = -102.622
- DOS at the Fermi energy (states/eV/atom) = 0.6391

a = 4.830 Å, b = 6.834 Å, c = 24.132 Å
α = 90.00°, β = 90.00°, γ = 90.00°
Space group Immm (No. 71)
Asymmetric unit:
Ac (0.000, 0.000, 0.100) [4 per cell]
Ac (0.000, 0.000, 0.302) [4 per cell]
Ce (0.000, 0.000, 0.500) [2 per cell]
Bi (0.000, 0.500, 0.094) [4 per cell]
Bi (0.000, 0.500, 0.299) [4 per cell]
Bi (0.000, 0.500, 0.500) [2 per cell]



Entry 10:
VASP calculation (PBE-GGA) on a geometry-optimized Ca5SmHg6 structure.

- V (Å³/cell) = 652.0
- ΔE_f (eV/atom) = -0.551
- mass density (Mg/m³) = 7.92
- electronic total energy (eV per cell) = -46.299
- DOS at the Fermi energy (states/eV/atom) = 0.5624

a = 5.349 Å, b = 16.012 Å, c = 7.613 Å
α = 90.00°, β = 90.00°, γ = 90.00°
Space group Cmmm (No. 65)
Asymmetric unit:
Ca (0.000, 0.000, 0.000) [2 per cell]
Ca (0.000, 0.332, 0.500) [4 per cell]
Ca (0.000, 0.333, 0.000) [4 per cell]
Sm (0.000, 0.000, 0.500) [2 per cell]
Hg (0.000, 0.165, 0.252) [8 per cell]
Hg (0.000, 0.500, 0.255) [4 per cell]



Entry 11:
VASP calculation (PBE-GGA) on a geometry-optimized La5Cd4Pd structure.

- V (Å³/cell) = 292.6
- ΔE_f (eV/atom) = -0.414
- mass density (Mg/m³) = 7.10
- electronic total energy (eV per cell) = -37.628
- DOS at the Fermi energy (states/eV/atom) = 1.1353

a = 3.880 Å, b = 3.880 Å, c = 19.432 Å
α = 90.00°, β = 90.00°, γ = 90.00°
Space group P4/mmm (No. 123)
Asymmetric unit:
La (0.000, 0.000, 0.000) [1 per cell]
La (0.000, 0.000, 0.207) [2 per cell]
La (0.000, 0.000, 0.414) [2 per cell]
Cd (0.500, 0.500, 0.103) [2 per cell]
Cd (0.500, 0.500, 0.308) [2 per cell]
Pd (0.500, 0.500, 0.500) [1 per cell]



Entry 12:
VASP calculation (PBE-GGA) on a geometry-optimized Pr2Er8Tm3 structure.

- V (Å³/cell) = 858.7
- ΔE_f (eV/atom) = 0.242
- mass density (Mg/m³) = 8.23
- electronic total energy (eV per cell) = -112.668
- DOS at the Fermi energy (states/eV/atom) = 1.6600

a = 7.550 Å, b = 20.816 Å, c = 5.464 Å
α = 90.00°, β = 90.00°, γ = 90.00°
Space group Cmmm (No. 65)
Asymmetric unit:
Pr (0.000, 0.240, 0.000) [4 per cell]
Er (0.000, 0.126, 0.500) [4 per cell]
Er (0.000, 0.341, 0.500) [4 per cell]
Er (0.214, 0.394, 0.000) [8 per cell]
Tm (0.000, 0.000, 0.000) [2 per cell]
Tm (0.214, 0.500, 0.500) [4 per cell]